A.
The following is a PBE calculation of a geometry-optimized Tl4HgPt structure, from Alexandria via LeMat-Bulk.

Computed properties:
Space-group type = No. 15
DOS at the Fermi energy = 5.55 states/eV/cell

a = 5.8108 Å, b = 7.7344 Å, c = 7.7344 Å
α = 103.91°, β = 96.96°, γ = 96.96°
Closest atoms and distances in Å follow each position.
Sites, in units of the cell vectors:
1 Tl 0.9157 0.6444 0.8363  2 Pt 3.04-3.08, 2 Hg 3.19-3.29
2 Tl 0.0419 0.9061 0.2966  2 Pt 2.93-2.96, 1 Hg 3.21, 1 Tl 3.25
3 Tl 0.5843 0.1637 0.3556  2 Pt 3.04-3.08, 2 Hg 3.19-3.29
4 Tl 0.4581 0.7034 0.0939  2 Pt 2.93-2.96, 1 Hg 3.21, 1 Tl 3.25
5 Tl 0.5419 0.2966 0.9061  2 Pt 2.93-2.96, 1 Hg 3.21, 1 Tl 3.25
6 Tl 0.4157 0.8363 0.6444  2 Pt 3.04-3.08, 2 Hg 3.19-3.29
7 Tl 0.9581 0.0939 0.7034  2 Pt 2.93-2.96, 1 Hg 3.21, 1 Tl 3.25
8 Tl 0.0843 0.3556 0.1637  2 Pt 3.04-3.08, 2 Hg 3.19-3.29
9 Hg 0.7500 0.5850 0.4150  6 Tl 3.19-3.29, 2 Hg 3.57
10 Hg 0.2500 0.4150 0.5850  6 Tl 3.19-3.29, 2 Hg 3.57
11 Pt 0.2500 0.0040 0.9960  2 Pt 2.91, 8 Tl 2.93-3.08
12 Pt 0.7500 0.9960 0.0040  2 Pt 2.91, 8 Tl 2.93-3.08

=====

B.
The following is a PBE calculation of a geometry-optimized Tl4HgPt structure, from Alexandria via LeMat-Bulk.

Computed properties:
Space-group type = No. 140
DOS at the Fermi energy = 6.71 states/eV/cell

a = 7.4387 Å, b = 7.4387 Å, c = 7.8356 Å
α = 118.34°, β = 118.34°, γ = 90.00°
Closest atoms and distances in Å follow each position.
Sites, in units of the cell vectors:
1 Tl 0.4852 0.9852 0.2805  2 Pt 3.09, 5 Tl 3.24-3.44, 2 Hg 3.25
2 Tl 0.9852 0.7953 0.2805  2 Pt 3.09, 5 Tl 3.24-3.44, 2 Hg 3.25
3 Tl 0.2953 0.4852 0.2805  2 Pt 3.09, 5 Tl 3.24-3.44, 2 Hg 3.25
4 Tl 0.7047 0.5148 0.7195  2 Pt 3.09, 5 Tl 3.24-3.44, 2 Hg 3.25
5 Tl 0.0148 0.2047 0.7195  2 Pt 3.09, 5 Tl 3.24-3.44, 2 Hg 3.25
6 Tl 0.5148 0.0148 0.7195  2 Pt 3.09, 5 Tl 3.24-3.44, 2 Hg 3.25
7 Tl 0.2047 0.7047 0.7195  2 Pt 3.09, 5 Tl 3.24-3.44, 2 Hg 3.25
8 Tl 0.7953 0.2953 0.2805  2 Pt 3.09, 5 Tl 3.24-3.44, 2 Hg 3.25
9 Hg 0.5000 0.5000 0.0000  2 Pt 2.90, 8 Tl 3.25
10 Hg 0.0000 0.0000 0.0000  2 Pt 2.90, 8 Tl 3.25
11 Pt 0.2500 0.2500 0.5000  2 Hg 2.90, 8 Tl 3.09
12 Pt 0.7500 0.7500 0.5000  2 Hg 2.90, 8 Tl 3.09

=====

Which of them is most stable, and which least? Most stable: A; least stable: B.

=====

A.
The following is a PBE calculation of a geometry-optimized CoReSe2 structure, from Alexandria via LeMat-Bulk.

Computed properties:
Space-group type = No. 123
DOS at the Fermi energy = 4.81 states/eV/cell

a = 4.3539 Å, b = 4.3539 Å, c = 3.1250 Å
α = 90.00°, β = 90.00°, γ = 90.03°
Closest atoms and distances in Å follow each position.
Sites, in units of the cell vectors:
1 Co 0.5000 0.0000 0.5000  8 Se 2.68
2 Re 0.0000 0.5000 0.5000  8 Se 2.68
3 Se 0.0000 0.0000 0.0000  4 Co 2.68, 4 Re 2.68
4 Se 0.5000 0.5000 0.0000  4 Re 2.68, 4 Co 2.68

=====

B.
The following is a PBE calculation of a geometry-optimized CoReSe2 structure, from Alexandria via LeMat-Bulk.

Computed properties:
Space-group type = No. 6
DOS at the Fermi energy = 2.78 states/eV/cell

a = 3.7875 Å, b = 3.7877 Å, c = 6.2029 Å
α = 90.49°, β = 90.00°, γ = 90.00°
Closest atoms and distances in Å follow each position.
Sites, in units of the cell vectors:
1 Co 0.0000 0.3751 0.6250  4 Se 2.42, 4 Re 2.68
2 Re 0.5000 0.8749 0.6250  4 Se 2.42, 4 Co 2.68
3 Se 0.0000 0.8784 0.8676  2 Re 2.42, 2 Co 2.42
4 Se 0.5000 0.3715 0.3825  2 Co 2.42, 2 Re 2.42

=====

Which of them is most stable, and which least? Most stable: B; least stable: A.

=====

A.
The following is a PBE calculation of a geometry-optimized BC3 structure, from Alexandria via LeMat-Bulk.

Computed properties:
Space-group type = No. 1
DOS at the Fermi energy = 1.10 states/eV/cell

a = 2.5087 Å, b = 4.5572 Å, c = 5.0147 Å
α = 116.46°, β = 103.87°, γ = 89.99°
Closest atoms and distances in Å follow each position.
Sites, in units of the cell vectors:
1 C 0.6838 0.3567 0.7724  3 C 1.42-1.45
2 C 0.1838 0.1959 0.7724  2 C 1.45, 1 B 1.56
3 C 0.6839 0.6680 0.7725  1 C 1.42, 2 B 1.51
4 B 0.1838 0.8543 0.7725  3 C 1.51-1.56

=====

B.
The following is a PBE calculation of a geometry-optimized BC3 structure, from Alexandria via LeMat-Bulk.

Computed properties:
Space-group type = No. 8
DOS at the Fermi energy = 0.98 states/eV/cell

a = 4.4872 Å, b = 4.4872 Å, c = 7.6965 Å
α = 116.04°, β = 116.04°, γ = 32.64°
Closest atoms and distances in Å follow each position.
Sites, in units of the cell vectors:
1 B 0.6570 0.6570 0.3541  2 C 1.58-1.61, 2 B 1.74
2 B 0.1874 0.1874 0.2169  1 C 1.55
3 B 0.9916 0.9916 0.9760  3 C 1.57-1.60
4 C 0.4880 0.4880 0.3862  3 C 1.55-1.69, 1 B 1.58
5 C 0.3320 0.3320 0.1505  3 C 1.53-1.69, 1 B 1.55
6 C 0.8393 0.8393 0.0408  3 C 1.53-1.63, 1 B 1.60
7 C 0.6685 0.6685 0.8261  4 C 1.54-1.63
8 C 0.5078 0.5078 0.8632  2 C 1.54-1.56, 2 B 1.57
9 C 0.3333 0.3333 0.6682  4 C 1.54-1.58
10 C 0.1692 0.1692 0.7074  4 C 1.56-1.61
11 C 0.9905 0.9905 0.5051  4 C 1.55-1.61
12 C 0.8352 0.8352 0.5554  3 C 1.54-1.55, 1 B 1.61

=====

Which of them is most stable, and which least? Most stable: A; least stable: B.

=====

A.
The following is a PBE calculation of a geometry-optimized TcTeOs2 structure, from Alexandria via LeMat-Bulk.

Computed properties:
Space-group type = No. 65
DOS at the Fermi energy = 5.38 states/eV/cell

a = 2.8393 Å, b = 2.8393 Å, c = 9.6308 Å
α = 90.00°, β = 90.00°, γ = 118.60°
Closest atoms and distances in Å follow each position.
Sites, in units of the cell vectors:
1 Os 0.0000 0.0000 0.0245  2 Tc 2.61, 6 Os 2.84-2.90
2 Os 0.0000 0.0000 0.4755  2 Tc 2.61, 6 Os 2.84-2.90
3 Tc 0.5000 0.5000 0.2500  4 Os 2.61, 6 Tc 2.84-2.90
4 Te 0.5000 0.5000 0.7500  6 Te 2.84-2.90, 4 Os 3.01

=====

B.
The following is a PBE calculation of a geometry-optimized TcTeOs2 structure, from Alexandria via LeMat-Bulk.

Computed properties:
Space-group type = No. 123
DOS at the Fermi energy = 3.63 states/eV/cell

a = 2.9545 Å, b = 2.9545 Å, c = 7.4867 Å
α = 90.00°, β = 90.00°, γ = 90.00°
Closest atoms and distances in Å follow each position.
Sites, in units of the cell vectors:
1 Os 0.0000 0.0000 0.0200  4 Tc 2.71, 4 Te 2.91, 4 Os 2.95
2 Os 0.0000 0.0000 0.4800  4 Tc 2.71, 4 Te 2.91, 4 Os 2.95
3 Tc 0.5000 0.5000 0.2500  8 Os 2.71, 4 Tc 2.95
4 Te 0.5000 0.5000 0.7500  8 Os 2.91, 4 Te 2.95

=====

Which of them is most stable, and which least? Most stable: B; least stable: A.

=====

A.
The following is a PBE calculation of a geometry-optimized KTa2 structure, from Alexandria via LeMat-Bulk.

Computed properties:
Space-group type = No. 123
DOS at the Fermi energy = 3.19 states/eV/cell

a = 5.8075 Å, b = 5.8075 Å, c = 2.6325 Å
α = 90.00°, β = 90.00°, γ = 90.00°
Closest atoms and distances in Å follow each position.
Sites, in units of the cell vectors:
1 K 0.0000 0.0000 0.0000  2 K 2.63
2 Ta 0.0000 0.5000 0.5000  2 Ta 2.63
3 Ta 0.5000 0.0000 0.5000  2 Ta 2.63

=====

B.
The following is a PBE calculation of a geometry-optimized KTa2 structure, from Alexandria via LeMat-Bulk.

Computed properties:
Space-group type = No. 69
DOS at the Fermi energy = 3.96 states/eV/cell

a = 9.0430 Å, b = 8.8599 Å, c = 2.9695 Å
α = 83.96°, β = 76.98°, γ = 19.06°
Closest atoms and distances in Å follow each position.
Sites, in units of the cell vectors:
1 K 0.0000 0.0000 0.0000  4 K 2.97
2 Ta 0.6889 0.6889 0.3111  6 Ta 2.70-2.97
3 Ta 0.3111 0.3111 0.6889  6 Ta 2.70-2.97

=====

Which of them is most stable, and which least? Most stable: B; least stable: A.

=====

A.
The following is a PBE calculation of a geometry-optimized TlCr2 structure, from Alexandria via LeMat-Bulk.

Computed properties:
Space-group type = No. 194
DOS at the Fermi energy = 9.97 states/eV/cell

a = 5.0722 Å, b = 5.0722 Å, c = 8.3928 Å
α = 90.00°, β = 90.00°, γ = 120.00°
Closest atoms and distances in Å follow each position.
Sites, in units of the cell vectors:
1 Cr 0.0000 0.0000 0.0000  6 Cr 2.57
2 Cr 0.0000 0.0000 0.5000  6 Cr 2.57
3 Cr 0.8308 0.6616 0.2500  6 Cr 2.50-2.57
4 Cr 0.1692 0.3384 0.7500  6 Cr 2.50-2.57
5 Cr 0.3384 0.1692 0.2500  6 Cr 2.50-2.57
6 Cr 0.8308 0.1692 0.2500  6 Cr 2.50-2.57
7 Cr 0.1692 0.8308 0.7500  6 Cr 2.50-2.57
8 Cr 0.6616 0.8308 0.7500  6 Cr 2.50-2.57
9 Tl 0.3333 0.6667 0.0629  12 Cr 2.98-3.00, 4 Tl 3.11-3.14
10 Tl 0.6667 0.3333 0.5629  12 Cr 2.98-3.00, 4 Tl 3.11-3.14
11 Tl 0.6667 0.3333 0.9371  12 Cr 2.98-3.00, 4 Tl 3.11-3.14
12 Tl 0.3333 0.6667 0.4371  12 Cr 2.98-3.00, 4 Tl 3.11-3.14

=====

B.
The following is a PBE calculation of a geometry-optimized TlCr2 structure, from Alexandria via LeMat-Bulk.

Computed properties:
Space-group type = No. 71
DOS at the Fermi energy = 3.72 states/eV/cell

a = 5.0793 Å, b = 5.0793 Å, c = 5.0793 Å
α = 144.16°, β = 130.66°, γ = 62.47°
Closest atoms and distances in Å follow each position.
Sites, in units of the cell vectors:
1 Cr 0.6665 0.6665 0.0000  7 Cr 2.89-3.13, 5 Tl 2.90-3.00
2 Cr 0.3335 0.3335 0.0000  7 Cr 2.89-3.13, 5 Tl 2.90-3.00
3 Tl 0.0000 0.0000 0.0000  10 Cr 2.90-3.00, 2 Tl 3.13

=====

Which of them is most stable, and which least? Most stable: A; least stable: B.

=====

A.
The following is a PBE calculation of a geometry-optimized ZrCd2Os structure, from Alexandria via LeMat-Bulk.

Computed properties:
Space-group type = No. 123
DOS at the Fermi energy = 3.20 states/eV/cell

a = 2.9225 Å, b = 2.9225 Å, c = 8.9215 Å
α = 90.00°, β = 90.00°, γ = 90.00°
Closest atoms and distances in Å follow each position.
Sites, in units of the cell vectors:
1 Cd 0.0000 0.0000 0.0220  4 Os 2.90, 4 Cd 2.92, 4 Zr 3.19
2 Cd 0.0000 0.0000 0.4780  4 Os 2.90, 4 Cd 2.92, 4 Zr 3.19
3 Os 0.5000 0.5000 0.2500  8 Cd 2.90, 4 Os 2.92
4 Zr 0.5000 0.5000 0.7500  4 Zr 2.92, 8 Cd 3.19

=====

B.
The following is a PBE calculation of a geometry-optimized ZrCd2Os structure, from Alexandria via LeMat-Bulk.

Computed properties:
Space-group type = No. 65
DOS at the Fermi energy = 2.42 states/eV/cell

a = 5.5063 Å, b = 5.5063 Å, c = 2.8811 Å
α = 90.00°, β = 90.00°, γ = 119.29°
Closest atoms and distances in Å follow each position.
Sites, in units of the cell vectors:
1 Cd 0.0000 0.0000 0.0000  4 Cd 2.78-2.88, 4 Zr 3.11, 4 Os 3.11
2 Cd 0.5000 0.5000 0.0000  4 Cd 2.78-2.88, 4 Os 3.11, 4 Zr 3.11
3 Os 0.5000 0.0000 0.5000  2 Zr 2.78, 2 Os 2.88, 8 Cd 3.11
4 Zr 0.0000 0.5000 0.5000  2 Os 2.78, 2 Zr 2.88, 8 Cd 3.11

=====

Which of them is most stable, and which least? Most stable: B; least stable: A.